DFT (PBE) results for a geometry-optimized Be3ZnBr structure.

Cell: 4.382 4.382 4.382 Å, 90.00 90.00 90.00°
Sites, in units of the cell vectors:
Be1 0.000 0.500 0.000
Be2 0.000 0.000 0.500
Be3 0.500 0.000 0.000
Zn1 0.000 0.000 0.000
Br1 0.500 0.500 0.500

Computed properties:
* symmetry: No. 221
* relative energy among the computed polymorphs: 0.00 kcal/mol of atoms
* theoretical density: 3.40 g cm⁻³
* Fermi-level density of states: 5.6 states/eV/f.u.
* E_form (uncorrected): 0.8581 eV per atom
* total DFT energy (no corrections): -1.967 eV/atom



DFT (PBE) results for a geometry-optimized CaMgGe structure.

Cell: 4.464 7.517 8.398 Å, 90.00 90.00 90.00°
Sites, in units of the cell vectors:
Ca1 0.750 0.480 0.680
Ca2 0.250 0.520 0.320
Ca3 0.750 0.980 0.820
Ca4 0.250 0.020 0.180
Mg1 0.750 0.357 0.062
Mg2 0.250 0.643 0.938
Mg3 0.750 0.857 0.438
Mg4 0.250 0.143 0.562
Ge1 0.750 0.732 0.117
Ge2 0.250 0.268 0.883
Ge3 0.750 0.232 0.383
Ge4 0.250 0.768 0.617

Computed properties:
* symmetry: No. 62
* formation energy from the elements: -0.57 eV per atom
* theoretical density: 3.23 g cm⁻³
* Fermi-level density of states: 0.2 states/eV/f.u.
* total DFT energy (no corrections): -3.312 eV/atom



DFT (PBE) results for a geometry-optimized LuMgHgRh structure.

Cell: 4.805 4.805 4.805 Å, 60.00 60.00 60.00°
Sites, in units of the cell vectors:
Mg1 0.250 0.250 0.250
Lu1 0.750 0.750 0.750
Rh1 0.500 0.500 0.500
Hg1 0.000 0.000 0.000

Computed properties:
* symmetry: No. 216
* formation energy from the elements: -0.50 eV per atom
* theoretical density: 10.64 g cm⁻³
* Fermi-level density of states: 1.6 states/eV/f.u.
* total DFT energy (no corrections): -3.943 eV/atom